# 1
The following is a PBE calculation of K3TbBr8 after structural relaxation, from Alexandria via LeMat-Bulk.

```
K3TbBr8
1.0
-3.722 3.722 7.918
3.722 -3.722 7.918
3.722 3.722 -7.918
K Tb Br
3 1 8
Cartesian
0.000 0.000 0.000
3.722 0.000 3.959
0.000 3.722 3.959
0.000 0.000 7.918
2.026 2.026 -1.780
1.696 -1.696 6.138
2.026 2.026 1.780
1.696 -1.696 9.698
-1.696 1.696 6.138
1.696 1.696 6.138
-1.696 1.696 9.698
1.696 1.696 9.698
```

formation energy from raw total energies: -1353.7 meV/atom
SG: No. 139
DOS(E_F): 15.57 states/eV/cell
magnetization: 0.0 μB per formula unit
uncorrected energy: -3.129 eV per atom

# 2
The following is a PBE calculation of BPbO after structural relaxation, from Alexandria via LeMat-Bulk.

```
BPbO
1.0
6.865 -1.402 0.000
6.865 1.402 0.000
-4.202 0.000 6.342
B Pb O
2 2 2
Cartesian
2.850 0.000 0.640
6.678 0.000 5.702
2.030 0.000 4.716
7.498 0.000 1.626
-0.984 0.000 5.509
10.512 0.000 0.833
```

formation energy from raw total energies: -360.5 meV/atom
SG: No. 12
DOS(E_F): 1.33 states/eV/cell
magnetization: 0.0 μB per formula unit
uncorrected energy: -5.475 eV per atom

# 3
The following is a PBE calculation of PrTh2Cd after structural relaxation, from Alexandria via LeMat-Bulk.

```
PrTh2Cd
1.0
4.912 0.000 0.000
0.000 4.912 0.000
0.000 0.000 5.076
Pr Th Cd
1 2 1
Cartesian
0.000 0.000 0.000
0.000 2.456 2.538
2.456 0.000 2.538
2.456 2.456 0.000
```

offset from the most stable computed form: 0.0 meV/atom
SG: No. 123
DOS(E_F): 4.71 states/eV/cell
energy of formation: -2 kJ per mole of atoms
magnetization: 0.0 μB per formula unit
uncorrected energy: -5.151 eV per atom

# 4
The following is a PBE calculation of ScTc2Os after structural relaxation, from Alexandria via LeMat-Bulk.

```
ScTc2Os
1.0
-1.538 2.252 4.481
1.538 -2.252 4.481
1.538 2.252 -4.481
Sc Tc Os
1 2 1
Cartesian
0.000 0.000 0.000
0.000 0.000 4.509
0.000 2.252 2.187
1.538 0.000 2.306
```

offset from the most stable computed form: 23.3 meV/atom
SG: No. 44
DOS(E_F): 3.78 states/eV/cell
energy of formation: -3 kJ per mole of atoms
magnetization: 0.0 μB per formula unit
uncorrected energy: -9.608 eV per atom

# 5
The following is a PBE calculation of Nd12ErTl3 after structural relaxation, from Alexandria via LeMat-Bulk.

```
Nd12ErTl3
1.0
5.003 0.000 0.000
0.000 5.003 0.000
0.000 0.000 20.408
Nd Er Tl
12 1 3
Cartesian
0.000 0.000 0.000
0.000 0.000 5.030
0.000 0.000 10.204
0.000 0.000 15.378
0.000 2.502 2.515
0.000 2.502 7.555
0.000 2.502 12.853
0.000 2.502 17.892
2.502 0.000 2.515
2.502 0.000 7.555
2.502 0.000 12.853
2.502 0.000 17.892
2.502 2.502 10.204
2.502 2.502 0.000
2.502 2.502 4.979
2.502 2.502 15.429
```

SG: No. 123
DOS(E_F): 22.66 states/eV/cell
energy of formation: -14 kJ per mole of atoms
magnetization: 0.0 μB per formula unit
uncorrected energy: -4.451 eV per atom

# 6
The following is a PBE calculation of Na3In2Pd3 after structural relaxation, from Alexandria via LeMat-Bulk.

```
Na3In2Pd3
1.0
7.878 0.000 0.000
-3.939 6.822 0.000
0.000 0.000 3.019
Na In Pd
3 2 3
Cartesian
-0.937 1.623 0.000
1.874 0.000 0.000
3.002 5.200 0.000
0.000 4.548 0.000
3.939 2.274 0.000
-2.330 4.036 1.509
1.608 2.786 1.509
4.661 0.000 1.509
```

SG: No. 189
DOS(E_F): 3.30 states/eV/cell
energy of formation: -31 kJ per mole of atoms
magnetization: 0.0 μB per formula unit
uncorrected energy: -3.452 eV per atom

# 7
The following is a PBE calculation of Y4TlPt after structural relaxation, from Alexandria via LeMat-Bulk.

```
Y4TlPt
1.0
0.000 4.331 4.331
4.331 0.000 4.331
4.331 4.331 0.000
Y Tl Pt
4 1 1
Cartesian
1.080 1.080 1.080
3.251 3.251 1.080
3.251 1.080 3.251
1.080 3.251 3.251
4.331 4.331 4.331
6.496 6.496 6.496
```

offset from the most stable computed form: 943.9 meV/atom
SG: No. 216
DOS(E_F): 5.66 states/eV/cell
energy of formation: 29 kJ per mole of atoms
magnetization: 0.0 μB per formula unit
uncorrected energy: -5.407 eV per atom

# 8
The following is a PBE calculation of Mg2InGa2Pt5 after structural relaxation, from Alexandria via LeMat-Bulk.

```
Mg2InGa2Pt5
1.0
9.375 0.000 0.000
0.000 9.375 0.000
0.000 0.000 3.864
Mg In Ga Pt
4 2 4 10
Cartesian
1.618 3.069 0.000
3.069 7.757 0.000
6.305 1.618 0.000
7.757 6.305 0.000
0.000 0.000 0.000
4.687 4.687 0.000
1.174 5.861 0.000
3.513 1.174 0.000
5.861 8.201 0.000
8.201 3.513 0.000
0.000 4.687 1.932
0.711 7.471 1.932
1.904 0.711 1.932
2.783 5.398 1.932
3.976 2.783 1.932
4.687 0.000 1.932
5.398 6.591 1.932
6.591 3.976 1.932
7.471 8.664 1.932
8.664 1.904 1.932
```

SG: No. 127
DOS(E_F): 4.58 states/eV/cell
energy of formation: -61 kJ per mole of atoms
magnetization: 0.0 μB per formula unit
uncorrected energy: -4.848 eV per atom